Compound: PmTePO
Source: OQMD
Functional: PBE
Structure: optimized geometry

Values from the calculation:
Symmetry: No. 129
ΔE to the lowest computed polymorph (eV/atom): 0.047
Total energy (Ha/atom): -0.2114

Lattice parameters (Å, degrees): 4.1121 4.1121 10.2188 90.00 90.00 90.00
Positions (direct):
O: 0.0000 0.0000 0.0000
O: 0.5000 0.5000 0.0000
P: 0.5000 0.0000 0.2724
P: 0.0000 0.5000 0.7276
Pm: 0.0000 0.5000 0.1091
Pm: 0.5000 0.0000 0.8909
Te: 0.0000 0.0000 0.5000
Te: 0.5000 0.5000 0.5000